Entry from the Alexandria database: CuPt3 after structural relaxation (PBEsol).

Cell: 2.7164 4.5103 4.6654 Å, 90.00 90.00 90.00°
Element x y z (fractional)
Cu 0.0000 0.0000 0.0000
Pt 0.0000 0.5000 0.3348
Pt 0.5000 0.0000 0.4984
Pt 0.5000 0.5000 0.8384

The total magnetic moment is 0.0 μB/cell. The energy relative to the elements is -0.04 eV per atom. As for the space-group type: Pmm2 (25). For the energy, the calculation gives -0.4661 Ry per atom.